Arrangement P

## K2BaOs (GGA-PBE)

Data for K2BaOs after structural relaxation.

abc: 5.633 5.633 5.633
angles: 120.10 120.10 89.82
Positions (direct):
1 K 0.000 0.000 0.000
2 K 0.750 0.250 0.500
3 Ba 0.500 0.500 0.000
4 Os 0.250 0.750 0.500

Calculated values
Space-group type   I-4m2 (119)
Volume   126.2 Å³/f.u.

Arrangement Q

## K2BaOs (GGA-PBE)

Data for K2BaOs after structural relaxation.

abc: 4.412 6.376 5.321
angles: 90.00 97.49 90.00
Positions (direct):
1 K 0.213 0.000 0.286
2 K 0.787 0.000 0.714
3 Ba 0.500 0.500 0.000
4 Os 0.000 0.500 0.500

Calculated values
Space-group type   P2/m (10)
Volume   148.4 Å³/f.u.

Verdict on stability: arrangement Q comes out at the bottom.

Arrangement P

## KBa2P2 (GGA-PBE)

Data for KBa2P2 after structural relaxation.

abc: 9.287 9.287 3.762
angles: 90.00 90.00 90.00
Positions (direct):
1 K 0.000 0.000 0.000
2 K 0.500 0.500 0.000
3 Ba 0.132 0.368 0.000
4 Ba 0.368 0.868 0.000
5 Ba 0.632 0.132 0.000
6 Ba 0.868 0.632 0.000
7 P 0.167 0.667 0.500
8 P 0.333 0.167 0.500
9 P 0.667 0.833 0.500
10 P 0.833 0.333 0.500

Calculated values
Space-group type   P4/mbm (127)
Volume   162.3 Å³/f.u.

Arrangement Q

## KBa2P2 (GGA-PBE)

Data for KBa2P2 after structural relaxation.

abc: 7.125 7.125 7.125
angles: 134.61 134.61 66.14
Positions (direct):
1 K 0.000 0.000 0.000
2 Ba 0.250 0.750 0.500
3 Ba 0.750 0.250 0.500
4 P 0.401 0.401 0.000
5 P 0.599 0.599 0.000

Calculated values
Space-group type   I4/mmm (139)
Volume   180.5 Å³/f.u.

Verdict on stability: arrangement Q comes out at the bottom.

Arrangement P

## KBaPS2 (GGA-PBE)

Data for KBaPS2 after structural relaxation.

abc: 5.495 5.495 5.226
angles: 90.00 90.00 90.00
Positions (direct):
1 K 0.000 0.000 0.000
2 Ba 0.500 0.500 0.500
3 P 0.000 0.000 0.500
4 S 0.000 0.500 0.000
5 S 0.500 0.000 0.000

Calculated values
Space-group type   P4/mmm (123)
Volume   157.8 Å³/f.u.

Arrangement Q

## KBaPS2 (GGA-PBE)

Data for KBaPS2 after structural relaxation.

abc: 5.412 5.412 6.112
angles: 90.00 90.00 90.00
Positions (direct):
1 K 0.000 0.000 0.000
2 Ba 0.000 0.000 0.500
3 P 0.500 0.500 0.500
4 S 0.000 0.500 0.000
5 S 0.500 0.000 0.000

Calculated values
Space-group type   P4/mmm (123)
Volume   179.0 Å³/f.u.

Verdict on stability: arrangement Q comes out at the bottom.

Arrangement P

## KBaP2S (GGA-PBE)

Data for KBaP2S after structural relaxation.

abc: 5.336 5.336 5.513
angles: 90.00 90.00 90.00
Positions (direct):
1 K 0.000 0.000 0.000
2 Ba 0.500 0.500 0.500
3 P 0.000 0.500 0.000
4 P 0.500 0.000 0.000
5 S 0.000 0.000 0.500

Calculated values
Space-group type   P4/mmm (123)
Volume   157.0 Å³/f.u.

Arrangement Q

## KBaP2S (GGA-PBE)

Data for KBaP2S after structural relaxation.

abc: 6.245 6.245 5.866
angles: 90.00 90.00 90.00
Positions (direct):
1 K 0.000 0.000 0.000
2 Ba 0.500 0.500 0.500
3 P 0.000 0.500 0.500
4 P 0.500 0.000 0.500
5 S 0.500 0.500 0.000

Calculated values
Space-group type   P4/mmm (123)
Volume   228.8 Å³/f.u.

Verdict on stability: arrangement P comes out at the bottom.

Arrangement P

## KBaPb (GGA-PBE)

Data for KBaPb after structural relaxation.

abc: 5.959 5.959 3.992
angles: 90.00 90.00 120.00
Positions (direct):
1 K 0.000 0.000 0.000
2 Ba 0.333 0.667 0.689
3 Pb 0.667 0.333 0.288

Calculated values
Space-group type   P3m1 (156)
Volume   122.8 Å³/f.u.

Arrangement Q

## KBaPb (GGA-PBE)

Data for KBaPb after structural relaxation.

abc: 6.601 6.601 6.601
angles: 144.00 131.48 61.87
Positions (direct):
1 K 0.000 0.000 0.000
2 Ba 0.307 0.307 0.000
3 Pb 0.662 0.662 0.000

Calculated values
Space-group type   Imm2 (44)
Volume   125.3 Å³/f.u.

Arrangement R

## KBaPb (GGA-PBE)

Data for KBaPb after structural relaxation.

abc: 9.023 9.023 9.023
angles: 153.57 153.57 37.72
Positions (direct):
1 K 0.000 0.000 0.000
2 Ba 0.264 0.264 0.000
3 Pb 0.635 0.635 0.000

Calculated values
Space-group type   I4mm (107)
Volume   145.3 Å³/f.u.

Verdict on stability: arrangement P comes out at the bottom.

Arrangement P

## KBa3Pb (GGA-PBE)

Data for KBa3Pb after structural relaxation.

abc: 6.949 6.949 6.949
angles: 90.00 90.00 90.00
Positions (direct):
1 K 0.000 0.000 0.000
2 Ba 0.000 0.500 0.500
3 Ba 0.500 0.000 0.500
4 Ba 0.500 0.500 0.000
5 Pb 0.500 0.500 0.500

Calculated values
Space-group type   Pm-3m (221)
Volume   335.5 Å³/f.u.

Arrangement Q

## KBa3Pb (GGA-PBE)

Data for KBa3Pb after structural relaxation.

abc: 6.612 6.612 6.612
angles: 90.00 90.00 90.00
Positions (direct):
1 K 0.000 0.000 0.000
2 Ba 0.000 0.000 0.500
3 Ba 0.000 0.500 0.000
4 Ba 0.500 0.000 0.000
5 Pb 0.500 0.500 0.500

Calculated values
Space-group type   Pm-3m (221)
Volume   289.1 Å³/f.u.

Verdict on stability: arrangement Q comes out at the bottom.